# PBE SmAl2Pb, optimized geometry
# - energy of formation from the pure elements (eV/atom) = -0.28
# - size of the total moment (Bohr magnetons per cell) = 0.00
data_SmAl2Pb
_cell_length_a 4.561
_cell_length_b 4.561
_cell_length_c 4.499
_cell_angle_alpha 90.00
_cell_angle_beta 90.00
_cell_angle_gamma 90.00
_symmetry_space_group_name_H-M 'P 4/m m m'
_symmetry_Int_Tables_number 123
_symmetry_space_group_name_Hall '-P 4 2'
loop_
_atom_site_label
_atom_site_type_symbol
_atom_site_fract_x
_atom_site_fract_y
_atom_site_fract_z
_atom_site_occupancy
Sm1 Sm 0.000 0.000 0.000 1
Al1 Al 0.000 0.500 0.500 1
Pb1 Pb 0.500 0.500 0.000 1

---

# PBE Sm2AlPb, optimized geometry
# - energy of formation from the pure elements (eV/atom) = -0.41
# - size of the total moment (Bohr magnetons per cell) = 0.00
data_Sm2AlPb
_cell_length_a 3.514
_cell_length_b 3.514
_cell_length_c 8.841
_cell_angle_alpha 90.00
_cell_angle_beta 90.00
_cell_angle_gamma 90.00
_symmetry_space_group_name_H-M 'P 4/m m m'
_symmetry_Int_Tables_number 123
_symmetry_space_group_name_Hall '-P 4 2'
loop_
_atom_site_label
_atom_site_type_symbol
_atom_site_fract_x
_atom_site_fract_y
_atom_site_fract_z
_atom_site_occupancy
Sm1 Sm 0.000 0.000 0.231 1
Al1 Al 0.500 0.500 0.000 1
Pb1 Pb 0.500 0.500 0.500 1

---

# PBE SmAlPb, optimized geometry
# - energy of formation from the pure elements (eV/atom) = -0.19
# - size of the total moment (Bohr magnetons per cell) = 0.00
data_SmAlPb
_cell_length_a 3.682
_cell_length_b 3.682
_cell_length_c 11.565
_cell_angle_alpha 90.00
_cell_angle_beta 90.00
_cell_angle_gamma 90.00
_symmetry_space_group_name_H-M 'I 4 m m'
_symmetry_Int_Tables_number 107
_symmetry_space_group_name_Hall 'I 4 -2'
loop_
_atom_site_label
_atom_site_type_symbol
_atom_site_fract_x
_atom_site_fract_y
_atom_site_fract_z
_atom_site_occupancy
Sm1 Sm 0.000 0.000 0.000 1
Al1 Al 0.000 0.000 0.334 1
Pb1 Pb 0.000 0.000 0.700 1

---

# PBE SmAlPb, optimized geometry
# - energy of formation from the pure elements (eV/atom) = -0.31
# - size of the total moment (Bohr magnetons per cell) = 0.00
data_SmAlPb
_cell_length_a 4.5617
_cell_length_b 4.5617
_cell_length_c 4.4279
_cell_angle_alpha 90.00
_cell_angle_beta 90.00
_cell_angle_gamma 120.00
_symmetry_space_group_name_H-M 'P 3 m 1'
_symmetry_Int_Tables_number 156
loop_
_symmetry_equiv_pos_as_xyz
'x,y,z'
'-y,x-y,z'
'-x+y,-x,z'
'-y,-x,z'
'-x+y,y,z'
'x,x-y,z'
loop_
_atom_site_label
_atom_site_type_symbol
_atom_site_fract_x
_atom_site_fract_y
_atom_site_fract_z
_atom_site_occupancy
Sm1 Sm 0.0000 0.0000 0.0000 1
Al1 Al 0.3333 0.6667 0.3650 1
Pb1 Pb 0.6667 0.3333 0.5695 1